No. 1
Compound: Na2NbCl6
Source: the Alexandria database
Functional: PBE-GGA
Structure: relaxed

Lattice parameters (Å, degrees): 6.3743 6.3743 12.1412 90.00 90.00 90.00
Space group P4_2/mnm (No. 136)
Inequivalent atoms, fractional coordinates:
1 Na 0.0000 0.0000 0.1691 (multiplicity 4)
2 Nb 0.0000 0.0000 0.5000 (multiplicity 2)
3 Cl 0.1882 0.1882 0.3540 (multiplicity 8)
4 Cl 0.2314 0.2314 0.0000 (multiplicity 4)

size of the total moment: 0.111 μB/atom
excess energy over the best structure of this formula in the dataset: 9 meV per atom
final energy: -4.1132 eV per atom
crystal system: tetragonal

***

No. 2
Compound: Pr5ScCd6
Source: the Alexandria database
Functional: PBE-GGA
Structure: relaxed

Lattice parameters (Å, degrees): 5.3841 16.2792 7.6986 90.00 90.00 90.00
Space group Cmmm (No. 65)
Inequivalent atoms, fractional coordinates:
1 Pr 0.0000 0.0000 0.0000 (multiplicity 2)
2 Pr 0.0000 0.3280 0.0000 (multiplicity 4)
3 Pr 0.0000 0.3342 0.5000 (multiplicity 4)
4 Sc 0.0000 0.0000 0.5000 (multiplicity 2)
5 Cd 0.0000 0.1574 0.2622 (multiplicity 8)
6 Cd 0.0000 0.5000 0.2645 (multiplicity 4)

size of the total moment: 0.135 μB/atom
final energy: -3.2736 eV per atom
DFT formation energy: -0.297 eV/atom
crystal system: orthorhombic

***

No. 3
Compound: AlOsW2
Source: the Alexandria database
Functional: PBE-GGA
Structure: relaxed

Lattice parameters (Å, degrees): 2.8054 4.0924 5.3066 90.00 91.38 90.00
Space group P2/m (No. 10)
Inequivalent atoms, fractional coordinates:
1 Al 0.0000 0.0000 0.0000 (multiplicity 1)
2 Os 0.0000 0.0000 0.5000 (multiplicity 1)
3 W 0.4967 0.5000 0.2473 (multiplicity 2)

size of the total moment: 0.000 μB/atom
final energy: -10.2486 eV per atom
DFT formation energy: -0.029 eV/atom
crystal system: monoclinic

***

No. 4
Compound: PrNd2Sm4
Source: the Alexandria database
Functional: PBE-GGA
Structure: relaxed

Lattice parameters (Å, degrees): 3.6569 3.6569 62.5247 90.00 90.00 120.00
Space group R-3m (No. 166, hexagonal axes)
Inequivalent atoms, fractional coordinates:
1 Pr 0.0000 0.0000 0.0000 (multiplicity 3)
2 Nd 0.0000 0.0000 0.4288 (multiplicity 6)
3 Sm 0.0000 0.0000 0.1431 (multiplicity 6)
4 Sm 0.0000 0.0000 0.2855 (multiplicity 6)

size of the total moment: 0.000 μB/atom
excess energy over the best structure of this formula in the dataset: 0 meV per atom
final energy: -4.7328 eV per atom
DFT formation energy: 0.009 eV/atom
crystal system: trigonal

***

No. 5
Compound: FeCo3Bi
Source: the Alexandria database
Functional: PBE-GGA
Structure: relaxed

Lattice parameters (Å, degrees): 4.3857 4.3857 4.3857 90.00 90.00 90.00
Space group Pm-3m (No. 221)
Inequivalent atoms, fractional coordinates:
1 Fe 0.0000 0.0000 0.0000 (multiplicity 1)
2 Co 0.0000 0.0000 0.5000 (multiplicity 3)
3 Bi 0.5000 0.5000 0.5000 (multiplicity 1)

size of the total moment: 1.480 μB/atom
excess energy over the best structure of this formula in the dataset: 0 meV per atom
final energy: -5.8321 eV per atom
DFT formation energy: 0.900 eV/atom
crystal system: cubic

***

No. 6
Compound: HoMg2AlPt4
Source: the Alexandria database
Functional: PBE-GGA
Structure: relaxed

Lattice parameters (Å, degrees): 4.5240 4.5240 23.1820 90.00 90.00 120.00
Space group R-3m (No. 166, hexagonal axes)
Inequivalent atoms, fractional coordinates:
1 Ho 0.0000 0.0000 0.0000 (multiplicity 3)
2 Mg 0.0000 0.0000 0.2474 (multiplicity 6)
3 Al 0.0000 0.0000 0.5000 (multiplicity 3)
4 Pt 0.0000 0.0000 0.1305 (multiplicity 6)
5 Pt 0.0000 0.0000 0.3915 (multiplicity 6)

size of the total moment: 0.000 μB/atom
final energy: -5.4434 eV per atom
DFT formation energy: -0.984 eV/atom
crystal system: trigonal

***

No. 7
Compound: TmThWC3
Source: the Alexandria database
Functional: PBE-GGA
Structure: relaxed

Lattice parameters (Å, degrees): 7.5045 3.6967 7.9163 90.00 99.72 90.00
Space group P2_1/m (No. 11)
Inequivalent atoms, fractional coordinates:
1 Tm 0.1324 0.2500 0.1552 (multiplicity 2)
2 Th 0.3164 0.7500 0.8201 (multiplicity 2)
3 W 0.3967 0.7500 0.3973 (multiplicity 2)
4 C 0.1112 0.2500 0.8564 (multiplicity 2)
5 C 0.3300 0.2500 0.4796 (multiplicity 2)
6 C 0.3879 0.7500 0.1519 (multiplicity 2)

size of the total moment: 0.000 μB/atom
final energy: -8.7482 eV per atom
DFT formation energy: 0.005 eV/atom
crystal system: monoclinic

***

No. 8
Compound: Ba2Zn3P2O2
Source: the Alexandria database
Functional: PBE-GGA
Structure: relaxed

Lattice parameters (Å, degrees): 4.1603 4.1603 19.7691 90.00 90.00 90.00
Space group I4/mmm (No. 139)
Inequivalent atoms, fractional coordinates:
1 Ba 0.0000 0.0000 0.0917 (multiplicity 4)
2 Zn 0.0000 0.0000 0.5000 (multiplicity 2)
3 Zn 0.0000 0.5000 0.2500 (multiplicity 4)
4 P 0.0000 0.0000 0.3215 (multiplicity 4)
5 O 0.0000 0.5000 0.0000 (multiplicity 4)

size of the total moment: 0.000 μB/atom
final energy: -4.4066 eV per atom
crystal system: tetragonal

***

No. 9
Compound: Dy12Tm2Th5
Source: the Alexandria database
Functional: PBE-GGA
Structure: relaxed

Lattice parameters (Å, degrees): 18.6679 7.0495 10.1735 90.00 113.40 90.00
Space group C2/m (No. 12)
Inequivalent atoms, fractional coordinates:
1 Dy 0.0053 0.0000 0.3220 (multiplicity 4)
2 Dy 0.0270 0.5000 0.2362 (multiplicity 4)
3 Dy 0.1574 0.2535 0.8619 (multiplicity 8)
4 Dy 0.1672 0.2516 0.5167 (multiplicity 8)
5 Tm 0.0000 0.2152 0.0000 (multiplicity 4)
6 Th 0.0000 0.5000 0.5000 (multiplicity 2)
7 Th 0.1772 0.0000 0.2074 (multiplicity 4)
8 Th 0.1846 0.5000 0.1789 (multiplicity 4)

size of the total moment: 0.000 μB/atom
final energy: -5.1137 eV per atom
DFT formation energy: 0.216 eV/atom
crystal system: monoclinic

***

No. 10
Compound: In2GaSnHg
Source: the Alexandria database
Functional: PBE-GGA
Structure: relaxed

Lattice parameters (Å, degrees): 4.3018 4.3018 14.3604 90.00 90.00 90.00
Space group P4/nmm (No. 129, origin choice 2)
Inequivalent atoms, fractional coordinates:
1 In 0.2500 0.2500 0.1285 (multiplicity 2)
2 In 0.2500 0.2500 0.7051 (multiplicity 2)
3 Ga 0.2500 0.7500 0.5000 (multiplicity 2)
4 Sn 0.2500 0.2500 0.3469 (multiplicity 2)
5 Hg 0.2500 0.2500 0.9168 (multiplicity 2)

size of the total moment: 0.000 μB/atom
final energy: -2.5189 eV per atom
DFT formation energy: 0.043 eV/atom
crystal system: tetragonal

***

No. 11
Compound: Li2DyCuO4
Source: the Alexandria database
Functional: PBE-GGA
Structure: relaxed

Lattice parameters (Å, degrees): 3.2456 11.4225 9.6497 90.00 90.00 90.00
Space group Cmcm (No. 63)
Inequivalent atoms, fractional coordinates:
1 Li 0.0000 0.0981 0.0428 (multiplicity 8)
2 Dy 0.0000 0.4316 0.2500 (multiplicity 4)
3 Cu 0.0000 0.3007 0.7500 (multiplicity 4)
4 O 0.0000 0.0902 0.2500 (multiplicity 4)
5 O 0.0000 0.1740 0.6302 (multiplicity 8)
6 O 0.0000 0.5000 0.0000 (multiplicity 4)

size of the total moment: 0.108 μB/atom
final energy: -5.8222 eV per atom
crystal system: orthorhombic

***

No. 12
Compound: LaHg3C
Source: the Alexandria database
Functional: PBE-GGA
Structure: relaxed

Lattice parameters (Å, degrees): 6.2712 6.2712 6.2712 90.00 90.00 90.00
Space group Pm-3m (No. 221)
Inequivalent atoms, fractional coordinates:
1 La 0.0000 0.0000 0.0000 (multiplicity 1)
2 Hg 0.0000 0.0000 0.5000 (multiplicity 3)
3 C 0.5000 0.5000 0.5000 (multiplicity 1)

size of the total moment: 0.410 μB/atom
excess energy over the best structure of this formula in the dataset: 998 meV per atom
final energy: -1.3431 eV per atom
DFT formation energy: 1.668 eV/atom
crystal system: cubic